VASP calculation (PBE) on crystalline CdSn3C at its relaxed geometry.

Properties
* formation enthalpy at 0 K: 0.796 eV per atom
* SG: Pm-3m
* calculated density: 7060 kg/m³
* volume: 22.6 A^3/atom
* energy above the lowest structure with this stoichiometry: 0.000 eV/atom
* total magnetic moment: 0.000 μB/atom

The structure in extended XYZ format:
```
5
Lattice="4.8350 0.0000 0.0000 0.0000 4.8350 0.0000 0.0000 0.0000 4.8350" Properties=species:S:1:pos:R:3 pbc="T T T"
Sn 0.0000 0.0000 2.4175
Sn 2.4175 0.0000 0.0000
Sn 0.0000 2.4175 0.0000
C 0.0000 0.0000 0.0000
Cd 2.4175 2.4175 2.4175
```


VASP calculation (PBE) on crystalline CdSn2C at its relaxed geometry.

Properties
* formation enthalpy at 0 K: 0.694 eV per atom
* SG: I-42d
* calculated density: 6182 kg/m³
* volume: 24.3 A^3/atom
* energy above the lowest structure with this stoichiometry: 0.000 eV/atom
* total magnetic moment: 0.000 μB/atom

The structure in extended XYZ format:
```
8
Lattice="-0.8041 5.2615 3.0746 -3.4375 -2.9524 4.1533 2.0907 0.1701 6.3999" Properties=species:S:1:pos:R:3 pbc="T T T"
Sn -0.3144 0.7428 7.8631
Sn -1.7945 -0.6983 4.8412
Cd 0.0000 0.0000 0.0000
Sn -1.8514 2.3987 10.7717
C -1.7338 -0.8139 7.0836
C -2.1208 1.1545 3.6140
Cd -0.4171 3.2931 6.5442
Sn -0.3413 2.5151 3.7797
```


- Which formula does entry 2 have?
  CdSn2C